Record 1
An optimized crystal structure of PmNd9Tl2. Source: Alexandria via LeMat-Bulk, functional PBE.

Lattice parameters (Å, degrees): 5.020 5.020 15.483 90.00 90.00 90.00
Space group P4/mmm (No. 123)
Asymmetric unit:
Pm: 0.000 0.000 0.000
Nd: 0.000 0.500 0.174
Nd: 0.000 0.500 0.500
Nd: 0.500 0.500 0.000
Nd: 0.500 0.500 0.339
Tl: 0.000 0.000 0.339

* E_form: -125 meV/atom
* density of states at the Fermi level: 15.09 states/eV/cell

---

Record 2
An optimized crystal structure of Ce7InGa2. Source: Alexandria via LeMat-Bulk, functional PBE.

Lattice parameters (Å, degrees): 8.291 14.563 5.367 90.00 90.00 90.00
Space group Cmmm (No. 65)
Asymmetric unit:
Ce: 0.000 0.000 0.000
Ce: 0.000 0.265 0.500
Ce: 0.164 0.385 0.000
In: 0.000 0.500 0.500
Ga: 0.000 0.197 0.000

* E_form: 143 meV/atom
* density of states at the Fermi level: 63.91 states/eV/cell

---

Record 3
An optimized crystal structure of Mg5InAg3. Source: Alexandria via LeMat-Bulk, functional PBE.

Lattice parameters (Å, degrees): 8.3501 8.3501 6.0240 90.00 90.00 120.00
Space group P6_3/mcm (No. 193)
Asymmetric unit:
Mg: 0.0000 0.3257 0.2500
Mg: 0.3333 0.6667 0.0000
In: 0.0000 0.0000 0.0000
Ag: 0.0000 0.3471 0.7500

* E_form: -136 meV/atom
* density of states at the Fermi level: 6.53 states/eV/cell

---

Record 4
An optimized crystal structure of ZrGaTc2O. Source: Alexandria via LeMat-Bulk, functional PBE.

Lattice parameters (Å, degrees): 4.870 4.870 3.655 90.00 90.00 90.00
Space group P4/mmm (No. 123)
Asymmetric unit:
Zr: 0.000 0.000 0.000
Ga: 0.500 0.500 0.500
Tc: 0.000 0.500 0.500
O: 0.500 0.500 0.000

* ΔE to the lowest computed polymorph: 0.00 eV per formula unit
* formation energy without anion corrections: 646 meV per atom
* density of states at the Fermi level: 3.52 states/eV/cell

---

Record 5
An optimized crystal structure of CrHg2Rh2. Source: Alexandria via LeMat-Bulk, functional PBE.

Lattice parameters (Å, degrees): 6.525 6.525 4.244 90.00 90.00 90.00
Space group P4/mbm (No. 127)
Asymmetric unit:
Cr: 0.000 0.000 0.000
Hg: 0.169 0.331 0.500
Rh: 0.139 0.639 0.000

* E_form: 253 meV/atom
* density of states at the Fermi level: 14.76 states/eV/cell

---

Record 6
An optimized crystal structure of Ca2OsCI. Source: Alexandria via LeMat-Bulk, functional PBE.

Lattice parameters (Å, degrees): 5.376 5.376 3.909 90.00 90.00 90.00
Space group P4/mmm (No. 123)
Asymmetric unit:
Ca: 0.000 0.500 0.000
Os: 0.000 0.000 0.500
C: 0.000 0.000 0.000
I: 0.500 0.500 0.500

* formation energy without anion corrections: -236 meV per atom
* density of states at the Fermi level: 3.87 states/eV/cell

---

Record 7
An optimized crystal structure of Ce2Sm. Source: Alexandria via LeMat-Bulk, functional PBE.

Lattice parameters (Å, degrees): 8.988 8.988 8.988 90.00 90.00 90.00
Space group Fd-3m (No. 227, origin choice 2)
Asymmetric unit:
Ce: 0.000 0.000 0.000
Sm: 0.125 0.125 0.625

* E_form: 206 meV/atom
* ΔE to the lowest computed polymorph: 0.37 eV per formula unit
* density of states at the Fermi level: 73.41 states/eV/cell

---

Record 8
An optimized crystal structure of Hf4Cd. Source: Alexandria via LeMat-Bulk, functional PBE.

Lattice parameters (Å, degrees): 5.145 5.145 5.145 90.00 90.00 90.00
Space group Pm-3m (No. 221)
Asymmetric unit:
Hf: 0.000 0.000 0.000
Hf: 0.000 0.500 0.500
Cd: 0.500 0.500 0.500

* E_form: 1302 meV/atom
* ΔE to the lowest computed polymorph: 5.73 eV per formula unit
* density of states at the Fermi level: 8.11 states/eV/cell

---

Record 9
An optimized crystal structure of Tl17Sn11Pb. Source: Alexandria via LeMat-Bulk, functional PBE.

Lattice parameters (Å, degrees): 12.111 17.129 10.490 90.00 125.17 90.00
Space group Cm (No. 8)
Asymmetric unit:
Tl: 0.000 0.000 0.000
Tl: 0.002 0.000 0.358
Tl: 0.057 0.341 0.401
Tl: 0.144 0.500 0.645
Tl: 0.158 0.159 0.603
Tl: 0.177 0.178 0.999
Tl: 0.190 0.500 0.288
Tl: 0.301 0.300 0.317
Tl: 0.399 0.000 0.716
Tl: 0.460 0.144 0.000
Tl: 0.485 0.199 0.686
Sn: 0.003 0.182 0.186
Sn: 0.180 0.000 0.812
Sn: 0.226 0.411 0.001
Sn: 0.270 0.093 0.368
Sn: 0.318 0.318 0.816
Sn: 0.406 0.407 0.636
Pb: 0.367 0.000 0.178

* E_form: -2 meV/atom
* density of states at the Fermi level: 21.37 states/eV/cell

---

Record 10
An optimized crystal structure of GdAgS2. Source: Alexandria via LeMat-Bulk, functional PBE.

Lattice parameters (Å, degrees): 7.712 7.714 12.728 90.00 90.00 90.00
Space group P2_12_12_1 (No. 19)
Asymmetric unit:
Gd: 0.000 0.001 0.002
Gd: 0.249 0.751 0.752
Ag: 0.014 0.021 0.569
Ag: 0.230 0.761 0.319
S: 0.023 0.523 0.279
S: 0.029 0.030 0.783
S: 0.221 0.779 0.533
S: 0.227 0.727 0.971

* formation energy without anion corrections: -1334 meV per atom

---

Record 11
An optimized crystal structure of Tb3Y4Er5. Source: Alexandria via LeMat-Bulk, functional PBE.

Lattice parameters (Å, degrees): 6.130 7.089 8.668 89.98 89.93 89.90
Space group P-1 (No. 2)
Asymmetric unit:
Tb: 0.000 0.000 0.000
Tb: 0.167 0.249 0.332
Y: 0.166 0.751 0.333
Y: 0.333 0.501 0.668
Er: 0.000 0.500 0.000
Er: 0.334 0.000 0.668
Er: 0.499 0.249 0.000

* E_form: 23 meV/atom
* ΔE to the lowest computed polymorph: 0.00 eV per formula unit
* density of states at the Fermi level: 16.41 states/eV/cell

---

Record 12
An optimized crystal structure of TaMn3Nb. Source: Alexandria via LeMat-Bulk, functional PBE.

Lattice parameters (Å, degrees): 4.402 4.402 4.402 90.00 90.00 90.00
Space group Pm-3m (No. 221)
Asymmetric unit:
Ta: 0.000 0.000 0.000
Mn: 0.000 0.000 0.500
Nb: 0.500 0.500 0.500

* E_form: 1569 meV/atom
* ΔE to the lowest computed polymorph: 0.00 eV per formula unit
* density of states at the Fermi level: 6.15 states/eV/cell

---

Record 13
An optimized crystal structure of Pu6Rh5. Source: Alexandria via LeMat-Bulk, functional PBE.

Lattice parameters (Å, degrees): 6.741 10.602 7.136 90.00 104.23 90.00
Space group C2/m (No. 12)
Asymmetric unit:
Pu: 0.215 0.159 0.218
Pu: 0.222 0.000 0.706
Rh: 0.000 0.217 0.500
Rh: 0.000 0.364 0.000
Rh: 0.000 0.500 0.500

* E_form: -299 meV/atom
* ΔE to the lowest computed polymorph: 0.18 eV per formula unit
* density of states at the Fermi level: 86.38 states/eV/cell

---

Record 14
An optimized crystal structure of Hf2VPt. Source: Alexandria via LeMat-Bulk, functional PBE.

Lattice parameters (Å, degrees): 3.299 3.299 6.574 90.00 90.00 90.00
Space group P4/mmm (No. 123)
Asymmetric unit:
Hf: 0.000 0.000 0.244
V: 0.500 0.500 0.000
Pt: 0.500 0.500 0.500

* E_form: -533 meV/atom
* ΔE to the lowest computed polymorph: 0.00 eV per formula unit
* density of states at the Fermi level: 4.50 states/eV/cell

---

no.,raw total energy (eV per cell),total moment (μB per formula unit)
1,-53.89,0.0
2,-97.80,6.6
3,-40.99,0.0
4,-34.04,3.2
5,-47.33,3.2
6,-27.18,0.5
7,-127.75,2.4
8,-34.22,2.7
9,-176.05,0.0
10,-244.19,0.0
11,-62.29,0.0
12,-41.59,0.0
13,-252.07,31.0
14,-37.20,0.3